(1)
Compound: MgRu2Se
Source: Alexandria
Functional: PBE
Structure: optimized geometry

Lattice parameters (Å, degrees): 4.315 4.315 3.148 90.00 90.00 90.00
Space group P4/mmm (No. 123)
Unique sites:
Mg 0.000 0.000 0.000 (multiplicity 1)
Ru 0.000 0.500 0.500 (multiplicity 2)
Se 0.500 0.500 0.000 (multiplicity 1)

Computed properties:
- E above lowest polymorph (eV per atom) = 0.050
- DOS(E_F) (states/eV per cell) = 4.3
- total magnetization (μB/f.u.) = 0.00
- E_form (uncorrected) (eV per atom) = 0.09
- DFT total energy (eV per atom) = -5.822

(2)
Compound: La2Zn3GaCu12
Source: Alexandria
Functional: PBE
Structure: optimized geometry

Lattice parameters (Å, degrees): 8.1196 8.1196 18.1419 90.00 90.00 120.00
Space group R-3m (No. 166, hexagonal axes)
Unique sites:
La 0.0000 0.0000 0.1021 (multiplicity 6)
Zn 0.0000 0.5000 0.0000 (multiplicity 9)
Ga 0.0000 0.0000 0.5000 (multiplicity 3)
Cu 0.0095 0.5048 0.1381 (multiplicity 18)
Cu 0.1105 0.2209 0.7438 (multiplicity 18)

Computed properties:
- DOS(E_F) (states/eV per cell) = 23.7
- total magnetization (μB/f.u.) = 0.00
- DFT total energy (eV per atom) = -3.456

(3)
Compound: ZrBeCd
Source: Alexandria
Functional: PBE
Structure: optimized geometry

Lattice parameters (Å, degrees): 2.9787 2.9787 7.1246 90.00 90.00 120.00
Space group P3m1 (No. 156)
Unique sites:
Zr 0.0000 0.0000 0.0000 (multiplicity 1)
Be 0.6667 0.3333 0.3140 (multiplicity 1)
Cd 0.3333 0.6667 0.6123 (multiplicity 1)

Computed properties:
- E above lowest polymorph (eV per atom) = 0.494
- DOS(E_F) (states/eV per cell) = 1.5
- total magnetization (μB/f.u.) = 0.00
- DFT total energy (eV per atom) = -4.073

(4)
Compound: Mg6ZnW
Source: Alexandria
Functional: PBE
Structure: optimized geometry

Lattice parameters (Å, degrees): 4.835 6.131 10.530 90.00 90.00 90.00
Space group Amm2 (No. 38)
Unique sites:
Mg 0.000 0.000 0.000 (multiplicity 2)
Mg 0.000 0.238 0.746 (multiplicity 4)
Mg 0.500 0.000 0.170 (multiplicity 2)
Mg 0.500 0.243 0.421 (multiplicity 4)
Zn 0.000 0.000 0.521 (multiplicity 2)
W 0.500 0.000 0.669 (multiplicity 2)

Computed properties:
- E above lowest polymorph (eV per atom) = 0.000
- DOS(E_F) (states/eV per cell) = 10.8
- total magnetization (μB/f.u.) = 0.00
- DFT total energy (eV per atom) = -2.710

(5)
Compound: TaCuTe2
Source: Alexandria
Functional: PBE
Structure: optimized geometry

Lattice parameters (Å, degrees): 3.6142 3.6142 22.7703 90.00 90.00 120.00
Space group R-3m (No. 166, hexagonal axes)
Unique sites:
Ta 0.0000 0.0000 0.0000 (multiplicity 3)
Cu 0.0000 0.0000 0.5000 (multiplicity 3)
Te 0.0000 0.0000 0.2489 (multiplicity 6)

Computed properties:
- DOS(E_F) (states/eV per cell) = 2.9
- total magnetization (μB/f.u.) = 0.00
- E_form (uncorrected) (eV per atom) = 0.02
- DFT total energy (eV per atom) = -5.534

(6)
Compound: SiNi5B2
Source: Alexandria
Functional: PBE
Structure: optimized geometry

Lattice parameters (Å, degrees): 5.527 5.527 10.029 90.00 90.00 90.00
Space group I4/mcm (No. 140)
Unique sites:
Si 0.000 0.000 0.250 (multiplicity 4)
Ni 0.000 0.000 0.000 (multiplicity 4)
Ni 0.170 0.330 0.138 (multiplicity 16)
B 0.121 0.379 0.500 (multiplicity 8)

Computed properties:
- E above lowest polymorph (eV per atom) = 0.000
- DOS(E_F) (states/eV per cell) = 16.2
- total magnetization (μB/f.u.) = 0.00
- E_form (uncorrected) (eV per atom) = -0.36
- DFT total energy (eV per atom) = -6.324

(7)
Compound: Y3Co2Ge3
Source: Alexandria
Functional: PBE
Structure: optimized geometry

Lattice parameters (Å, degrees): 4.172 10.471 14.040 90.00 90.00 90.00
Space group Cmcm (No. 63)
Unique sites:
Y 0.000 0.082 0.109 (multiplicity 8)
Y 0.000 0.360 0.250 (multiplicity 4)
Co 0.000 0.207 0.598 (multiplicity 8)
Ge 0.000 0.337 0.750 (multiplicity 4)
Ge 0.000 0.369 0.039 (multiplicity 8)

Computed properties:
- DOS(E_F) (states/eV per cell) = 22.1
- total magnetization (μB/f.u.) = 0.00
- DFT total energy (eV per atom) = -6.666

(8)
Compound: TbHoNi
Source: Alexandria
Functional: PBE
Structure: optimized geometry

Lattice parameters (Å, degrees): 12.817 3.395 6.859 90.00 105.53 90.00
Space group C2/m (No. 12)
Unique sites:
Tb 0.130 0.000 0.065 (multiplicity 4)
Ho 0.131 0.000 0.566 (multiplicity 4)
Ni 0.000 0.500 0.259 (multiplicity 4)

Computed properties:
- E above lowest polymorph (eV per atom) = 0.047
- DOS(E_F) (states/eV per cell) = 10.3
- total magnetization (μB/f.u.) = 0.00
- DFT total energy (eV per atom) = -5.240